# VCl3F

A geometry-optimized VCl3F structure (GGA+U, Alexandria via LeMat-Bulk).

Values from the calculation:
Calculated density ... 2.32 g/cm3
Energy above the lowest structure with this stoichiometry ... 0.0 meV/atom

Lattice parameters (Å, degrees): 3.528 9.930 7.426 90.00 103.69 90.00
Sites, in units of the cell vectors:
V 0.131 0.250 0.261
V 0.869 0.750 0.739
Cl 0.022 0.750 0.044
Cl 0.365 0.584 0.731
Cl 0.365 0.916 0.731
Cl 0.635 0.084 0.269
Cl 0.635 0.416 0.269
Cl 0.978 0.250 0.956
F 0.254 0.250 0.508
F 0.746 0.750 0.492